1.
! RbY2AuO4, optimized geometry, DFT PBE; values from VASP
&SYSTEM
  ibrav = 0, nat = 8, ntyp = 4
/
ATOMIC_SPECIES
Rb 85.47 Rb.upf
Y 88.91 Y.upf
Au 196.97 Au.upf
O 16.00 O.upf
CELL_PARAMETERS angstrom
3.5233 0.0000 0.0000
-1.7617 3.0513 0.0000
0.0000 0.0000 13.4051
ATOMIC_POSITIONS angstrom
Rb 0.0000 0.0000 0.0000
Y 0.0000 2.0342 3.6489
Y 0.0000 2.0342 9.7562
Au 1.7617 1.0171 6.7026
O 0.0000 0.0000 2.5335
O 0.0000 0.0000 10.8717
O 1.7617 1.0171 4.6626
O 1.7617 1.0171 8.7426
! **Total magnetic moment**: 0.00 Bohr magnetons per cell
! **Total energy**: -55.6 eV for the cell shown



2.
! Re2AuO4, optimized geometry, DFT PBE; values from VASP
&SYSTEM
  ibrav = 0, nat = 14, ntyp = 3
/
ATOMIC_SPECIES
Re 186.21 Re.upf
Au 196.97 Au.upf
O 16.00 O.upf
CELL_PARAMETERS angstrom
0.0000 4.5269 4.5269
4.5269 0.0000 4.5269
4.5269 4.5269 0.0000
ATOMIC_POSITIONS angstrom
Re 0.0000 0.0000 0.0000
Re 2.2635 2.2635 0.0000
Re 2.2635 0.0000 2.2635
Re 0.0000 2.2635 2.2635
Au 3.3952 3.3952 3.3952
Au 5.6587 5.6587 5.6587
O 6.9928 4.3246 4.3246
O 2.0611 2.0611 2.0611
O 4.7293 4.7293 2.0611
O 4.7293 2.0611 4.7293
O 4.3246 6.9928 4.3246
O 4.3246 4.3246 6.9928
O 6.9928 6.9928 6.9928
O 2.0611 4.7293 4.7293
! **Total magnetic moment**: 10.17 Bohr magnetons per cell
! **Total energy**: -101.8 eV for the cell shown



3.
! Sr2ReAuO6, optimized geometry, DFT PBE; values from VASP
&SYSTEM
  ibrav = 0, nat = 10, ntyp = 4
/
ATOMIC_SPECIES
Sr 87.62 Sr.upf
Re 186.21 Re.upf
Au 196.97 Au.upf
O 16.00 O.upf
CELL_PARAMETERS angstrom
2.9826 1.7220 4.6110
-2.9826 1.7220 4.6110
0.0000 -3.4440 4.6110
ATOMIC_POSITIONS angstrom
Sr 0.0000 0.0000 0.0000
Sr 0.0000 0.0000 6.8420
Re 0.0000 0.0000 10.5792
Au 0.0000 0.0000 3.1325
O -2.3772 -0.3361 7.2255
O -0.5373 -1.5089 9.6471
O 1.4797 -1.8907 7.2255
O -1.0381 1.2198 9.6471
O 0.8975 2.2268 7.2255
O 1.5754 0.2891 9.6471
! **Total magnetic moment**: 0.00 Bohr magnetons per cell
! **Energy above the most stable polymorph in this dataset**: 37 meV/atom
! **Total energy**: -67.2 eV for the cell shown



4.
! Sr2ReAuO6, optimized geometry, DFT PBE; values from VASP
&SYSTEM
  ibrav = 0, nat = 10, ntyp = 4
/
ATOMIC_SPECIES
Sr 87.62 Sr.upf
Re 186.21 Re.upf
Au 196.97 Au.upf
O 16.00 O.upf
CELL_PARAMETERS angstrom
5.5433 0.0000 0.0000
-2.2254 5.2184 0.0000
-2.4263 -1.9610 5.0266
ATOMIC_POSITIONS angstrom
Sr -1.1600 0.6872 1.3559
Sr 2.0516 2.5701 3.6707
Re 1.5585 -0.9805 2.5133
Au 1.6589 2.6092 0.0000
O -1.6455 4.0377 0.9316
O -1.0623 2.4606 2.9925
O -0.0747 -0.4168 3.4035
O 0.9663 3.6742 1.6231
O 1.9539 0.7967 2.0341
O 2.5371 -0.7804 4.0950
! **Total magnetic moment**: 0.00 Bohr magnetons per cell
! **Energy above the most stable polymorph in this dataset**: 0 meV/atom
! **Total energy**: -67.5 eV for the cell shown



5.
! Au2SO, optimized geometry, DFT PBE; values from VASP
&SYSTEM
  ibrav = 0, nat = 8, ntyp = 3
/
ATOMIC_SPECIES
Au 196.97 Au.upf
S 32.06 S.upf
O 16.00 O.upf
CELL_PARAMETERS angstrom
4.3652 0.0000 0.0000
0.0000 4.3652 0.0000
0.0000 0.0000 7.7896
ATOMIC_POSITIONS angstrom
Au 1.0913 1.0913 0.3288
Au 1.0913 3.2739 3.8948
Au 3.2739 1.0913 3.8948
Au 3.2739 3.2739 7.4608
S 1.0913 1.0913 5.1759
S 3.2739 3.2739 2.6137
O 1.0913 3.2739 0.0000
O 3.2739 1.0913 0.0000
! **Energy above the most stable polymorph in this dataset**: 443 meV/atom
! **Total energy**: -28.0 eV for the cell shown



6.
! Au2SO, optimized geometry, DFT PBE; values from VASP
&SYSTEM
  ibrav = 0, nat = 16, ntyp = 3
/
ATOMIC_SPECIES
Au 196.97 Au.upf
S 32.06 S.upf
O 16.00 O.upf
CELL_PARAMETERS angstrom
5.6277 0.0000 0.0000
0.0000 5.2442 0.0000
-1.1869 0.0000 10.1991
ATOMIC_POSITIONS angstrom
Au -0.0781 0.0000 1.3368
Au 0.3702 0.9448 5.3828
Au 1.5398 2.7044 7.3949
Au 2.5762 2.4407 1.2822
Au 1.8646 5.0629 8.9168
Au 2.9010 0.0823 2.8042
Au 4.0707 3.5669 4.8163
Au 4.5189 2.6221 8.8622
S 0.0429 0.8439 7.7146
S 0.8988 1.2285 3.1570
S 3.5421 3.8506 7.0420
S 4.3979 3.4660 2.4845
O 0.8627 1.6511 0.3546
O 1.8790 4.2253 0.4628
O 2.5619 1.6032 9.7363
O 3.5782 4.2732 9.8445
! **Energy above the most stable polymorph in this dataset**: 240 meV/atom
! **Total energy**: -59.3 eV for the cell shown